(1)
{
  "formula": "NaFeSb2I",
  "functional": "PBE-GGA",
  "state": "relaxed",
  "polymorph_energy_mev_per_atom": 1084.6,
  "e_tot_ev_per_atom": -2.7560,
  "n_ef_per_ev_cell": 9.2,
  "raw_formation_energy_ev_per_fu": 5.80,
  "sg": "No. 123",
  "lattice_angstrom": [[-0.178, -5.308, -1.227], [5.099, -0.594, 1.832], [-1.979, -1.123, 5.145]],
  "species": ["Sb", "Sb", "I", "Na", "Fe"],
  "fractional_positions": [[0.000, 0.500, 0.000], [0.500, 0.000, 0.000], [0.000, 0.000, 0.500], [0.000, 0.000, 0.000], [0.500, 0.500, 0.500]]
}

(2)
{
  "formula": "NaFeSb2I",
  "functional": "PBE-GGA",
  "state": "relaxed",
  "polymorph_energy_mev_per_atom": 0.0,
  "e_tot_ev_per_atom": -3.8405,
  "n_ef_per_ev_cell": 4.5,
  "raw_formation_energy_ev_per_fu": 0.37,
  "sg": "No. 123",
  "lattice_angstrom": [[4.826, 0.000, 0.000], [0.000, 4.826, 0.000], [0.000, 0.000, 6.353]],
  "species": ["Na", "Sb", "Sb", "I", "Fe"],
  "fractional_positions": [[0.500, 0.500, 0.500], [0.500, 0.000, 0.000], [0.000, 0.500, 0.000], [0.000, 0.000, 0.500], [0.000, 0.000, 0.000]]
}

(3)
{
  "formula": "Na2FeSnI",
  "functional": "PBE-GGA",
  "state": "relaxed",
  "e_tot_ev_per_atom": -2.5432,
  "n_ef_per_ev_cell": 12.6,
  "raw_formation_energy_ev_per_fu": 3.94,
  "sg": "No. 123",
  "lattice_angstrom": [[6.027, 0.000, 0.000], [0.000, 6.083, 0.000], [0.000, 0.000, 6.027]],
  "species": ["Fe", "Na", "Na", "Sn", "I"],
  "fractional_positions": [[0.500, 0.500, 0.500], [0.000, 0.000, 0.500], [0.500, 0.000, 0.000], [0.000, 0.000, 0.000], [0.000, 0.500, 0.000]]
}

Q: Which formula does entry 2 have?
A: NaFeSb2I